Compound: GaBiAs3
Source: Alexandria via LeMat-Bulk
Functional: SCAN
Structure: single point on PBEsol structure

Properties
Space group: Pm-3m, No. 221
Formation enthalpy at 0 K (eV per atom): 1.1427
VASP energy (eV/atom): -29.96

Cell lengths 5.3902, 5.3902, 5.3902 Å; angles 90.00, 90.00, 90.00 degrees
Atoms (fractional coordinates):
Ga  0.5000  0.5000  0.5000
As  0.5000  0.0000  0.0000
As  0.0000  0.0000  0.5000
As  0.0000  0.5000  0.0000
Bi  0.0000  0.0000  0.0000


Compound: Li2RhPb
Source: Alexandria via LeMat-Bulk
Functional: SCAN
Structure: single point on PBEsol structure

Properties
Space group: P4/mmm, No. 123
Formation enthalpy at 0 K (eV per atom): -0.3062
VASP energy (eV/atom): -28.89

Cell lengths 3.8847, 3.8847, 4.2488 Å; angles 90.00, 90.00, 90.00 degrees
Atoms (fractional coordinates):
Pb  0.5000  0.5000  0.5000
Li  0.0000  0.5000  0.0000
Li  0.5000  0.0000  0.0000
Rh  0.0000  0.0000  0.5000


Compound: RbMgH2Ru
Source: Alexandria via LeMat-Bulk
Functional: SCAN
Structure: single point on PBEsol structure

Properties
Space group: P4/mmm, No. 123
VASP energy (eV/atom): -12.24

Cell lengths 3.8815, 3.8815, 7.1404 Å; angles 90.00, 90.00, 90.00 degrees
Each line ends with the local moment (μB).
Atoms (fractional coordinates):
Mg  0.0000  0.0000  0.0000  0.00
H  0.0000  0.5000  0.0000  0.00
H  0.5000  0.0000  0.0000  0.00
Ru  0.5000  0.5000  0.5000  1.64
Rb  0.0000  0.0000  0.5000  0.06


Compound: CoTe3O
Source: Alexandria via LeMat-Bulk
Functional: SCAN
Structure: single point on PBEsol structure

Properties
Space group: Pm-3m, No. 221
Formation energy without anion corrections (meV/atom): 778
VASP energy (eV/atom): -26.28

Cell lengths 4.8735, 4.8735, 4.8735 Å; angles 90.00, 90.00, 90.00 degrees
Each line ends with the local moment (μB).
Atoms (fractional coordinates):
Te  0.0000  0.5000  0.0000  0.24
Te  0.0000  0.0000  0.5000  0.24
Te  0.5000  0.0000  0.0000  0.24
Co  0.0000  0.0000  0.0000  1.12
O  0.5000  0.5000  0.5000  1.15


Compound: Sr2ReAsRu
Source: Alexandria via LeMat-Bulk
Functional: SCAN
Structure: single point on PBEsol structure

Properties
Space group: P4/mmm, No. 123
Formation enthalpy at 0 K (eV per atom): 0.9720
VASP energy (eV/atom): -33.16

Cell lengths 4.6056, 5.7331, 5.7331 Å; angles 90.00, 90.00, 90.00 degrees
Each line ends with the local moment (μB).
Atoms (fractional coordinates):
Sr  0.0000  0.5000  0.0000  0.01
Sr  0.0000  0.0000  0.5000  0.01
Re  0.0000  0.0000  0.0000  0.70
Ru  0.5000  0.5000  0.5000  2.19
As  0.5000  0.0000  0.0000  -0.02


Compound: In2MoIr
Source: Alexandria via LeMat-Bulk
Functional: SCAN
Structure: single point on PBEsol structure

Properties
Space group: C2/m, No. 12
Formation enthalpy at 0 K (eV per atom): 0.3482
ΔE to the lowest computed polymorph (meV/atom): 64
VASP energy (eV/atom): -42.84

Cell lengths 2.8910, 5.3026, 5.4084 Å; angles 118.07, 103.36, 94.24 degrees
Atoms (fractional coordinates):
In  0.0000  0.0000  0.5000
In  0.5000  0.5000  0.5000
Mo  0.0000  0.5000  0.0000
Ir  0.5000  0.0000  0.0000


Computed values of volume (unit: Å³ per cell) for the preceding records, in sequence: 156.6 64.1 107.6 115.7 151.4 69.6.